# 1
First-principles (GGA-PBE) data for crystalline MgTlAs2Se at its relaxed geometry, as listed in Alexandria.

Calculated values
relative energy among the computed polymorphs = 0 meV per atom
calculated total energy = -15.24 eV/cell

a = 5.0928 Å, b = 5.0928 Å, c = 5.2359 Å
α = 90.00°, β = 90.00°, γ = 90.00°
Last column: nearest neighbours and their distance in Å.
Space group P4/mmm (No. 123)
One atom of each set of equivalent atoms:
Mg1 0.0000 0.0000 0.0000  4 As 2.55, 2 Se 2.62
Tl1 0.5000 0.5000 0.5000  4 Se 3.60, 8 As 3.65
As1 0.0000 0.5000 0.0000  2 Mg 2.55
Se1 0.0000 0.0000 0.5000  2 Mg 2.62

---

# 2
First-principles (GGA-PBE) data for crystalline MgVAs2Se at its relaxed geometry, as listed in Alexandria.

Calculated values
relative energy among the computed polymorphs = 0 meV per atom
calculated total energy = -23.31 eV/cell

a = 4.7833 Å, b = 4.7833 Å, c = 4.8616 Å
α = 90.00°, β = 90.00°, γ = 90.00°
Last column: nearest neighbours and their distance in Å.
Space group P4/mmm (No. 123)
One atom of each set of equivalent atoms:
Mg1 0.0000 0.0000 0.0000  4 Se 3.38, 8 As 3.41
V1 0.5000 0.5000 0.5000  4 As 2.39, 2 Se 2.43
As1 0.0000 0.5000 0.5000  2 V 2.39
Se1 0.5000 0.5000 0.0000  2 V 2.43

---

# 3
First-principles (GGA-PBE) data for crystalline MgVAsSe2 at its relaxed geometry, as listed in Alexandria.

Calculated values
relative energy among the computed polymorphs = 0 meV per atom
calculated total energy = -22.69 eV/cell

a = 4.8544 Å, b = 4.8544 Å, c = 4.7967 Å
α = 90.00°, β = 90.00°, γ = 90.00°
Last column: nearest neighbours and their distance in Å.
Space group P4/mmm (No. 123)
One atom of each set of equivalent atoms:
Mg1 0.0000 0.0000 0.0000  8 Se 3.41, 4 As 3.43
V1 0.5000 0.5000 0.5000  2 As 2.40, 4 Se 2.43
As1 0.5000 0.5000 0.0000  2 V 2.40
Se1 0.0000 0.5000 0.5000  2 V 2.43

---

# 4
First-principles (GGA-PBE) data for crystalline MgAs2WSe at its relaxed geometry, as listed in Alexandria.

Calculated values
relative energy among the computed polymorphs = 150 meV per atom
calculated total energy = -24.87 eV/cell

a = 4.7785 Å, b = 4.7785 Å, c = 5.5063 Å
α = 90.00°, β = 90.00°, γ = 90.00°
Last column: nearest neighbours and their distance in Å.
Space group P4/mmm (No. 123)
One atom of each set of equivalent atoms:
Mg1 0.0000 0.0000 0.0000  2 W 2.75
As1 0.0000 0.5000 0.5000  2 W 2.39
W1 0.0000 0.0000 0.5000  4 As 2.39
Se1 0.5000 0.5000 0.0000  4 Mg 3.38, 8 As 3.65

---

# 5
First-principles (GGA-PBE) data for crystalline MgAs2WSe at its relaxed geometry, as listed in Alexandria.

Calculated values
relative energy among the computed polymorphs = 0 meV per atom
calculated total energy = -25.62 eV/cell

a = 4.8756 Å, b = 4.8756 Å, c = 5.1195 Å
α = 90.00°, β = 90.00°, γ = 90.00°
Last column: nearest neighbours and their distance in Å.
Space group P4/mmm (No. 123)
One atom of each set of equivalent atoms:
Mg1 0.0000 0.0000 0.0000  4 Se 3.45, 8 As 3.53
As1 0.0000 0.5000 0.5000  2 W 2.44
W1 0.5000 0.5000 0.5000  4 As 2.44, 2 Se 2.56
Se1 0.5000 0.5000 0.0000  2 W 2.56

---

# 6
First-principles (GGA-PBE) data for crystalline MgZrAs2Se at its relaxed geometry, as listed in Alexandria.

Calculated values
relative energy among the computed polymorphs = 0 meV per atom
calculated total energy = -23.32 eV/cell

a = 5.2230 Å, b = 5.2230 Å, c = 5.1557 Å
α = 90.00°, β = 90.00°, γ = 90.00°
Last column: nearest neighbours and their distance in Å.
Space group P4/mmm (No. 123)
One atom of each set of equivalent atoms:
Mg1 0.0000 0.0000 0.0000  8 As 3.67, 4 Se 3.69
Zr1 0.5000 0.5000 0.5000  2 Se 2.58, 4 As 2.61
As1 0.0000 0.5000 0.5000  2 Zr 2.61
Se1 0.5000 0.5000 0.0000  2 Zr 2.58

---

# 7
First-principles (GGA-PBE) data for crystalline MgZrAs2Se at its relaxed geometry, as listed in Alexandria.

Calculated values
relative energy among the computed polymorphs = 420 meV per atom
calculated total energy = -21.22 eV/cell

a = 4.8013 Å, b = 4.8013 Å, c = 5.0506 Å
α = 90.00°, β = 90.00°, γ = 90.00°
Last column: nearest neighbours and their distance in Å.
Space group P4/mmm (No. 123)
One atom of each set of equivalent atoms:
Mg1 0.0000 0.0000 0.0000  4 As 2.40, 2 Se 2.53
Zr1 0.5000 0.5000 0.5000  4 Se 3.40, 8 As 3.48
As1 0.0000 0.5000 0.0000  2 Mg 2.40
Se1 0.0000 0.0000 0.5000  2 Mg 2.53

---

# 8
First-principles (GGA-PBE) data for crystalline MgSi2As at its relaxed geometry, as listed in Alexandria.

Calculated values
relative energy among the computed polymorphs = 346 meV per atom
calculated total energy = -61.59 eV/cell

a = 6.5944 Å, b = 6.5944 Å, c = 6.5944 Å
α = 90.00°, β = 90.00°, γ = 90.00°
Last column: nearest neighbours and their distance in Å.
Space group Fm-3m (No. 225)
One atom of each set of equivalent atoms:
Mg1 0.0000 0.0000 0.0000  8 Si 2.86
Si1 0.2500 0.2500 0.2500  4 As 2.86, 4 Mg 2.86
As1 0.0000 0.0000 0.5000  8 Si 2.86

---

Short version: ΔE_f (raw) = 0.301; 0.038; -0.072; 0.492; 0.342; -0.079; 0.341; 0.423 eV/atom, in the order given.